# 1
VASP calculation (PBE) on an optimized crystal structure of KTcRh2.

Lattice parameters (Å, degrees): 2.737 2.737 10.298 90.00 90.00 117.12
Fractional coordinates of all 4 atoms:
K: 0.000 0.000 0.000
Tc: 0.500 0.500 0.297
Rh: 0.000 0.000 0.508
Rh: 0.500 0.500 0.733

Properties
crystal system: orthorhombic
energy of formation: 709 meV per atom
E_tot: -23.33 eV per cell



# 2
VASP calculation (PBE) on an optimized crystal structure of ZrAlCr2.

Lattice parameters (Å, degrees): 9.009 9.009 9.009 18.63 18.63 18.63
Fractional coordinates of all 4 atoms:
Zr: 0.000 0.000 0.000
Al: 0.500 0.500 0.500
Cr: 0.245 0.245 0.245
Cr: 0.755 0.755 0.755

Properties
crystal system: trigonal
energy of formation: 417 meV per atom
E_tot: -29.87 eV per cell



# 3
VASP calculation (PBE) on an optimized crystal structure of ScMn3Re.

Lattice parameters (Å, degrees): 4.595 4.595 4.595 90.00 90.00 90.00
Fractional coordinates of all 5 atoms:
Sc: 0.000 0.000 0.000
Mn: 0.000 0.500 0.500
Mn: 0.500 0.000 0.500
Mn: 0.500 0.500 0.000
Re: 0.500 0.500 0.500

Properties
crystal system: cubic
energy of formation: 912 meV per atom
E_tot: -41.73 eV per cell



# 4
VASP calculation (PBE) on an optimized crystal structure of La2DyCuTe5.

Lattice parameters (Å, degrees): 9.833 9.833 13.095 90.00 90.00 154.28
Fractional coordinates of all 18 atoms:
La: 0.110 0.890 0.500
La: 0.123 0.877 0.123
La: 0.877 0.123 0.623
La: 0.890 0.110 0.000
Dy: 0.191 0.809 0.824
Dy: 0.809 0.191 0.324
Cu: 0.429 0.571 0.269
Cu: 0.571 0.429 0.769
Te: 0.041 0.959 0.872
Te: 0.288 0.712 0.485
Te: 0.310 0.690 0.159
Te: 0.354 0.646 0.814
Te: 0.500 0.500 0.096
Te: 0.500 0.500 0.596
Te: 0.646 0.354 0.314
Te: 0.690 0.310 0.659
Te: 0.712 0.288 0.985
Te: 0.959 0.041 0.372

Properties
crystal system: orthorhombic
E_tot: -91.97 eV per cell



# 5
VASP calculation (PBE) on an optimized crystal structure of TlI.

Lattice parameters (Å, degrees): 4.799 4.799 4.478 90.00 90.00 120.00
Fractional coordinates of all 2 atoms:
Tl: 0.000 0.000 0.000
I: 0.667 0.333 0.500

Properties
crystal system: hexagonal
E_tot: -5.19 eV per cell



# 6
VASP calculation (PBE) on an optimized crystal structure of La2Dy4Y.

Lattice parameters (Å, degrees): 7.211 8.058 8.831 111.25 90.18 102.91
Fractional coordinates of all 14 atoms:
La: 0.000 0.000 0.000
La: 0.070 0.284 0.427
La: 0.573 0.283 0.429
La: 0.712 0.848 0.283
Dy: 0.213 0.848 0.283
Dy: 0.357 0.426 0.139
Dy: 0.428 0.714 0.575
Dy: 0.501 0.995 0.997
Dy: 0.642 0.566 0.855
Dy: 0.784 0.139 0.715
Dy: 0.857 0.424 0.138
Dy: 0.930 0.713 0.574
Y: 0.143 0.567 0.856
Y: 0.288 0.139 0.715

Properties
crystal system: triclinic
energy of formation: 25 meV per atom
E_tot: -69.10 eV per cell



# 7
VASP calculation (PBE) on an optimized crystal structure of RbGaTe2.

Lattice parameters (Å, degrees): 8.208 8.208 7.724 113.82 113.82 48.55
Fractional coordinates of all 8 atoms:
Rb: 0.186 0.186 0.259
Rb: 0.814 0.814 0.741
Ga: 0.253 0.747 0.500
Ga: 0.747 0.253 0.500
Te: 0.138 0.138 0.732
Te: 0.437 0.437 0.690
Te: 0.563 0.563 0.310
Te: 0.862 0.862 0.268

Properties
crystal system: monoclinic
E_tot: -25.95 eV per cell



# 8
VASP calculation (PBE) on an optimized crystal structure of Nd3YCd2.

Lattice parameters (Å, degrees): 7.852 7.852 4.826 90.00 90.00 143.12
Fractional coordinates of all 6 atoms:
Nd: 0.000 0.000 0.000
Nd: 0.327 0.673 0.000
Nd: 0.673 0.327 0.000
Y: 0.500 0.500 0.500
Cd: 0.164 0.836 0.500
Cd: 0.836 0.164 0.500

Properties
crystal system: orthorhombic
energy of formation: -137 meV per atom
E_tot: -23.42 eV per cell